Record 1
{
  "formula": "Ca2Al6Pd",
  "functional": "PBE",
  "state": "relaxed",
  "lattice_angstrom": [[5.838, 0.000, 0.000], [-2.919, 5.056, 0.000], [0.000, 0.000, 6.049]],
  "species": ["Ca", "Ca", "Al", "Al", "Al", "Al", "Al", "Al", "Pd"],
  "frac_coords": [[0.333, 0.667, 0.366], [0.667, 0.333, 0.634], [0.171, 0.341, 0.828], [0.171, 0.829, 0.828], [0.341, 0.171, 0.172], [0.659, 0.829, 0.828], [0.829, 0.171, 0.172], [0.829, 0.659, 0.172], [0.000, 0.000, 0.500]],
  "e_tot_ev_per_cell": -35.20,
  "magmom_total_mub_per_fu": 0.00,
  "e_form_ev_per_atom": -0.394
}

Record 2
{
  "formula": "Ca3Al3Pd2",
  "functional": "PBE",
  "state": "relaxed",
  "lattice_angstrom": [[8.003, 0.000, 0.000], [0.000, 15.486, 0.000], [0.000, 0.000, 5.896]],
  "species": ["Ca", "Ca", "Ca", "Ca", "Ca", "Ca", "Ca", "Ca", "Ca", "Ca", "Ca", "Ca", "Al", "Al", "Al", "Al", "Al", "Al", "Al", "Al", "Al", "Al", "Al", "Al", "Pd", "Pd", "Pd", "Pd", "Pd", "Pd", "Pd", "Pd"],
  "frac_coords": [[0.036, 0.110, 0.112], [0.036, 0.390, 0.112], [0.185, 0.250, 0.616], [0.315, 0.750, 0.116], [0.464, 0.610, 0.612], [0.464, 0.890, 0.612], [0.536, 0.110, 0.388], [0.536, 0.390, 0.388], [0.685, 0.250, 0.884], [0.815, 0.750, 0.384], [0.964, 0.610, 0.888], [0.964, 0.890, 0.888], [0.161, 0.750, 0.598], [0.172, 0.036, 0.605], [0.172, 0.464, 0.605], [0.328, 0.536, 0.105], [0.328, 0.964, 0.105], [0.339, 0.250, 0.098], [0.661, 0.750, 0.902], [0.672, 0.036, 0.895], [0.672, 0.464, 0.895], [0.828, 0.536, 0.395], [0.828, 0.964, 0.395], [0.839, 0.250, 0.402], [0.120, 0.603, 0.383], [0.120, 0.897, 0.383], [0.380, 0.103, 0.883], [0.380, 0.397, 0.883], [0.620, 0.603, 0.117], [0.620, 0.897, 0.117], [0.880, 0.103, 0.617], [0.880, 0.397, 0.617]],
  "e_tot_ev_per_cell": -129.30,
  "magmom_total_mub_per_fu": 0.00,
  "e_form_ev_per_atom": -0.588
}

Record 3
{
  "formula": "CaAlPd3",
  "functional": "PBE",
  "state": "relaxed",
  "lattice_angstrom": [[4.667, 0.000, 0.000], [0.000, 4.667, 0.000], [0.000, 0.000, 4.667]],
  "species": ["Ca", "Al", "Pd", "Pd", "Pd"],
  "frac_coords": [[0.000, 0.000, 0.000], [0.500, 0.500, 0.500], [0.000, 0.500, 0.500], [0.500, 0.000, 0.500], [0.500, 0.500, 0.000]],
  "e_tot_ev_per_cell": -23.68,
  "de_polymorph_mev_per_atom": 244,
  "magmom_total_mub_per_fu": 0.00,
  "e_form_ev_per_atom": -0.471
}

Record 4
{
  "formula": "Ca3AlPd",
  "functional": "PBE",
  "state": "relaxed",
  "lattice_angstrom": [[5.489, 0.000, 0.000], [0.000, 5.489, 0.000], [0.000, 0.000, 5.489]],
  "species": ["Ca", "Ca", "Ca", "Al", "Pd"],
  "frac_coords": [[0.000, 0.000, 0.500], [0.000, 0.500, 0.000], [0.500, 0.000, 0.000], [0.500, 0.500, 0.500], [0.000, 0.000, 0.000]],
  "e_tot_ev_per_cell": -15.66,
  "de_polymorph_mev_per_atom": 0,
  "magmom_total_mub_per_fu": 0.00,
  "e_form_ev_per_atom": -0.144
}